1.
Here is a geometry-optimized Sr3Ga4Cu2 structure from Alexandria via LeMat-Bulk. Energies are from GGA-PBE.

Values from the calculation:
Polymorph energy (0 for the lowest one)   0.003 eV per atom
Energy of formation from the pure elements   -3.10 eV/f.u.
Final energy   -3.160 eV per atom

Cell lengths 6.187, 6.187, 9.299 Å; angles 107.91, 107.91, 40.80 degrees
Element x y z (fractional)
Sr 0.000 0.000 0.000
Sr 0.397 0.397 0.310
Sr 0.603 0.603 0.690
Ga 0.150 0.150 0.428
Ga 0.272 0.272 0.936
Ga 0.728 0.728 0.064
Ga 0.850 0.850 0.572
Cu 0.318 0.318 0.693
Cu 0.682 0.682 0.307

***

2.
Here is a geometry-optimized Sr3Ga2Cu2 structure from Alexandria via LeMat-Bulk. Energies are from GGA-PBE.

Values from the calculation:
Energy of formation from the pure elements   -1.76 eV/f.u.
Final energy   -3.008 eV per atom

Cell lengths 6.069, 8.622, 13.882 Å; angles 90.00, 90.00, 90.00 degrees
Element x y z (fractional)
Sr 0.135 0.112 0.101
Sr 0.135 0.112 0.399
Sr 0.135 0.388 0.601
Sr 0.135 0.388 0.899
Sr 0.346 0.740 0.750
Sr 0.346 0.760 0.250
Sr 0.654 0.240 0.750
Sr 0.654 0.260 0.250
Sr 0.865 0.612 0.101
Sr 0.865 0.612 0.399
Sr 0.865 0.888 0.601
Sr 0.865 0.888 0.899
Ga 0.183 0.088 0.750
Ga 0.183 0.412 0.250
Ga 0.380 0.750 0.000
Ga 0.380 0.750 0.500
Ga 0.620 0.250 0.000
Ga 0.620 0.250 0.500
Ga 0.817 0.588 0.750
Ga 0.817 0.912 0.250
Cu 0.388 0.027 0.585
Cu 0.388 0.027 0.915
Cu 0.388 0.473 0.085
Cu 0.388 0.473 0.415
Cu 0.612 0.527 0.585
Cu 0.612 0.527 0.915
Cu 0.612 0.973 0.085
Cu 0.612 0.973 0.415

***

3.
Here is a geometry-optimized Sr3Ga4Cu4 structure from Alexandria via LeMat-Bulk. Energies are from GGA-PBE.

Values from the calculation:
Energy of formation from the pure elements   -3.20 eV/f.u.
Final energy   -3.340 eV per atom

Cell lengths 4.378, 4.423, 12.902 Å; angles 81.07, 80.28, 89.95 degrees
Element x y z (fractional)
Sr 0.000 0.000 0.000
Sr 0.149 0.647 0.699
Sr 0.851 0.353 0.301
Ga 0.302 0.817 0.405
Ga 0.449 0.452 0.104
Ga 0.551 0.548 0.896
Ga 0.698 0.183 0.595
Cu 0.244 0.279 0.502
Cu 0.402 0.908 0.201
Cu 0.598 0.092 0.799
Cu 0.756 0.721 0.498

***

4.
Here is a geometry-optimized SrGa2Cu5 structure from Alexandria via LeMat-Bulk. Energies are from GGA-PBE.

Values from the calculation:
Energy of formation from the pure elements   -0.87 eV/f.u.
Final energy   -3.636 eV per atom

Cell lengths 4.031, 6.699, 9.980 Å; angles 90.00, 90.00, 90.00 degrees
Element x y z (fractional)
Sr 0.000 0.000 0.000
Sr 0.500 0.500 0.500
Ga 0.000 0.500 0.244
Ga 0.000 0.500 0.756
Ga 0.500 0.000 0.256
Ga 0.500 0.000 0.744
Cu 0.000 0.180 0.369
Cu 0.000 0.180 0.631
Cu 0.000 0.500 0.000
Cu 0.000 0.820 0.369
Cu 0.000 0.820 0.631
Cu 0.500 0.000 0.500
Cu 0.500 0.320 0.131
Cu 0.500 0.320 0.869
Cu 0.500 0.680 0.131
Cu 0.500 0.680 0.869

***

5.
Here is a geometry-optimized Sr3Ga8Cu3 structure from Alexandria via LeMat-Bulk. Energies are from GGA-PBE.

Values from the calculation:
Polymorph energy (0 for the lowest one)   0.000 eV per atom
Energy of formation from the pure elements   -4.60 eV/f.u.
Final energy   -3.296 eV per atom

Cell lengths 8.398, 8.398, 8.398 Å; angles 149.53, 106.19, 81.91 degrees
Element x y z (fractional)
Sr 0.000 0.000 0.000
Sr 0.307 0.307 0.000
Sr 0.693 0.693 0.000
Ga 0.020 0.664 0.356
Ga 0.165 0.877 0.288
Ga 0.308 0.664 0.644
Ga 0.411 0.123 0.288
Ga 0.589 0.877 0.712
Ga 0.692 0.336 0.356
Ga 0.835 0.123 0.712
Ga 0.980 0.336 0.644
Cu 0.288 0.500 0.788
Cu 0.500 0.000 0.500
Cu 0.712 0.500 0.212

***

6.
Here is a geometry-optimized SrGa3Cu3 structure from Alexandria via LeMat-Bulk. Energies are from GGA-PBE.

Values from the calculation:
Polymorph energy (0 for the lowest one)   0.000 eV per atom
Energy of formation from the pure elements   -0.79 eV/f.u.
Final energy   -3.405 eV per atom

Cell lengths 8.197, 8.197, 8.197 Å; angles 48.35, 48.35, 48.35 degrees
Element x y z (fractional)
Sr 0.179 0.179 0.179
Sr 0.821 0.821 0.821
Ga 0.140 0.598 0.439
Ga 0.402 0.561 0.860
Ga 0.439 0.140 0.598
Ga 0.561 0.860 0.402
Ga 0.598 0.439 0.140
Ga 0.860 0.402 0.561
Cu 0.008 0.292 0.849
Cu 0.151 0.992 0.708
Cu 0.292 0.849 0.008
Cu 0.708 0.151 0.992
Cu 0.849 0.008 0.292
Cu 0.992 0.708 0.151

***

7.
Here is a geometry-optimized Sr2Ga5Cu5 structure from Alexandria via LeMat-Bulk. Energies are from GGA-PBE.

Values from the calculation:
Energy of formation from the pure elements   -2.78 eV/f.u.
Final energy   -3.480 eV per atom

Cell lengths 4.004, 5.556, 9.778 Å; angles 90.00, 90.00, 90.00 degrees
Element x y z (fractional)
Sr 0.000 0.000 0.000
Sr 0.000 0.500 0.500
Ga 0.000 0.000 0.316
Ga 0.000 0.000 0.684
Ga 0.000 0.500 0.165
Ga 0.000 0.500 0.835
Ga 0.500 0.000 0.500
Cu 0.500 0.256 0.249
Cu 0.500 0.256 0.751
Cu 0.500 0.500 0.000
Cu 0.500 0.744 0.249
Cu 0.500 0.744 0.751

***

8.
Here is a geometry-optimized Sr4GaCu3 structure from Alexandria via LeMat-Bulk. Energies are from GGA-PBE.

Values from the calculation:
Energy of formation from the pure elements   -1.27 eV/f.u.
Final energy   -2.914 eV per atom

Cell lengths 4.434, 4.530, 11.735 Å; angles 90.00, 90.00, 90.00 degrees
Element x y z (fractional)
Sr 0.000 0.000 0.000
Sr 0.000 0.500 0.493
Sr 0.500 0.000 0.711
Sr 0.500 0.500 0.217
Ga 0.000 0.500 0.801
Cu 0.000 0.000 0.301
Cu 0.500 0.000 0.407
Cu 0.500 0.500 0.907